[1]
Below is a crystal of LaSi2 relaxed with PBEsol, with properties calculated at the SCAN level.

```
data_LaSi2
_chemical_formula_sum 'La4 Si8'
_space_group_name_H-M_alt 'C 1 2/m 1'
_space_group_IT_number 12
_cell_length_a 11.058
_cell_length_b 3.925
_cell_length_c 6.180
_cell_angle_alpha 90.00
_cell_angle_beta 103.10
_cell_angle_gamma 90.00
loop_
_space_group_symop_operation_xyz
'x,y,z'
'-x,-y,-z'
'-x,y,-z'
'x,-y,z'
'x+1/2,y+1/2,z'
'-x+1/2,-y+1/2,-z'
'-x+1/2,y+1/2,-z'
'x+1/2,-y+1/2,z'
loop_
_atom_site_label
_atom_site_fract_x
_atom_site_fract_y
_atom_site_fract_z
La1 0.176 0.000 0.216
Si1 0.050 0.500 0.846
Si2 0.092 0.000 0.656
```

N(E_F)	2.5	states/eV/cell
magnetic moment	0.000	μB per atom
ΔE_f (raw)	-1.78	eV per formula unit

---

[2]
Below is a crystal of TlIr2Pt relaxed with PBEsol, with properties calculated at the SCAN level.

```
data_TlIr2Pt
_chemical_formula_sum 'Tl1 Ir2 Pt1'
_space_group_name_H-M_alt 'P 4/m m m'
_space_group_IT_number 123
_space_group_name_Hall '-P 4 2'
_cell_length_a 2.902
_cell_length_b 2.902
_cell_length_c 7.653
_cell_angle_alpha 90.00
_cell_angle_beta 90.00
_cell_angle_gamma 90.00
loop_
_atom_site_label
_atom_site_fract_x
_atom_site_fract_y
_atom_site_fract_z
Tl1 0.000 0.000 0.000
Ir1 0.500 0.500 0.273
Pt1 0.000 0.000 0.500
```

N(E_F)	3.3	states/eV/cell
ΔE_f	0.52	eV/atom
excess energy over the best structure of this formula in the dataset	44	meV per atom
magnetic moment	0.000	μB per atom

---

[3]
Below is a crystal of Tc2OsSe relaxed with PBEsol, with properties calculated at the SCAN level.

```
data_Tc2OsSe
_chemical_formula_sum 'Tc4 Os2 Se2'
_space_group_name_H-M_alt 'I m m 2'
_space_group_IT_number 44
_cell_length_a 2.913
_cell_length_b 4.366
_cell_length_c 8.902
_cell_angle_alpha 90.00
_cell_angle_beta 90.00
_cell_angle_gamma 90.00
loop_
_space_group_symop_operation_xyz
'x,y,z'
'-x,-y,z'
'-x,y,z'
'x,-y,z'
'x+1/2,y+1/2,z+1/2'
'-x+1/2,-y+1/2,z+1/2'
'-x+1/2,y+1/2,z+1/2'
'x+1/2,-y+1/2,z+1/2'
loop_
_atom_site_label
_atom_site_fract_x
_atom_site_fract_y
_atom_site_fract_z
Tc1 0.000 0.000 0.000
Tc2 0.000 0.500 0.222
Os1 0.000 0.500 0.773
Se1 0.000 0.000 0.499
```

N(E_F)	5.3	states/eV/cell
magnetic moment	0.000	μB per atom
ΔE_f (raw)	1.25	eV per formula unit

---

[4]
Below is a crystal of Dy5P12Ru19 relaxed with PBEsol, with properties calculated at the SCAN level.

```
data_Dy5P12Ru19
_chemical_formula_sum 'Dy5 P12 Ru19'
_space_group_name_H-M_alt 'P -6 2 m'
_space_group_IT_number 189
_space_group_name_Hall 'P -6 -2'
_cell_length_a 12.3848
_cell_length_b 12.3848
_cell_length_c 3.9140
_cell_angle_alpha 90.00
_cell_angle_beta 90.00
_cell_angle_gamma 120.00
loop_
_atom_site_label
_atom_site_fract_x
_atom_site_fract_y
_atom_site_fract_z
Dy1 0.0000 0.8157 0.0000
Dy2 0.3333 0.6667 0.5000
P1 0.0000 0.1839 0.5000
P2 0.0000 0.6271 0.5000
P3 0.1709 0.4780 0.0000
Ru1 0.0000 0.0000 0.5000
Ru2 0.0000 0.2825 0.0000
Ru3 0.0000 0.4443 0.5000
Ru4 0.1251 0.6342 0.0000
Ru5 0.1846 0.3770 0.5000
```

N(E_F)	18.2	states/eV/cell
ΔE_f	-0.95	eV/atom
magnetic moment	0.000	μB per atom

---

[5]
Below is a crystal of KTl2Sb relaxed with PBEsol, with properties calculated at the SCAN level.

```
data_KTl2Sb
_chemical_formula_sum 'K1 Tl2 Sb1'
_space_group_name_H-M_alt 'P 1 m 1'
_space_group_IT_number 6
_cell_length_a 3.720
_cell_length_b 5.145
_cell_length_c 6.771
_cell_angle_alpha 90.00
_cell_angle_beta 90.24
_cell_angle_gamma 90.00
loop_
_space_group_symop_operation_xyz
'x,y,z'
'x,-y,z'
loop_
_atom_site_label
_atom_site_fract_x
_atom_site_fract_y
_atom_site_fract_z
K1 0.000 0.000 0.000
Tl1 0.004 0.500 0.617
Tl2 0.503 0.000 0.504
Sb1 0.501 0.500 0.233
```

N(E_F)	1.0	states/eV/cell
magnetic moment	0.000	μB per atom
ΔE_f (raw)	-0.79	eV per formula unit

---

[6]
Below is a crystal of MgTc2Ag relaxed with PBEsol, with properties calculated at the SCAN level.

```
data_MgTc2Ag
_chemical_formula_sum 'Mg1 Tc2 Ag1'
_space_group_name_H-M_alt 'P 1 m 1'
_space_group_IT_number 6
_cell_length_a 2.860
_cell_length_b 3.735
_cell_length_c 5.889
_cell_angle_alpha 90.00
_cell_angle_beta 92.60
_cell_angle_gamma 90.00
loop_
_space_group_symop_operation_xyz
'x,y,z'
'x,-y,z'
loop_
_atom_site_label
_atom_site_fract_x
_atom_site_fract_y
_atom_site_fract_z
Mg1 0.000 0.000 0.000
Tc1 0.512 0.500 0.293
Tc2 0.948 0.000 0.470
Ag1 0.483 0.500 0.766
```

N(E_F)	2.7	states/eV/cell
ΔE_f	0.16	eV/atom
magnetic moment	0.000	μB per atom